Entry 1:
# Pm2Nd4YHo2 PBE relaxed
data_Pm2Nd4YHo2
_chemical_formula_sum 'Pm2 Nd4 Y1 Ho2'
_space_group_name_H-M_alt 'P 1'
_space_group_IT_number 1
_space_group_name_Hall 'P 1'
_cell_length_a 5.141
_cell_length_b 8.132
_cell_length_c 8.092
_cell_angle_alpha 107.59
_cell_angle_beta 90.00
_cell_angle_gamma 108.43
loop_
_atom_site_label
_atom_site_type_symbol
_atom_site_fract_x
_atom_site_fract_y
_atom_site_fract_z
Pm1 Pm 0.888 0.776 0.331
Pm2 Pm 0.112 0.224 0.669
Nd1 Nd 0.778 0.555 0.669
Nd2 Nd 0.222 0.445 0.331
Nd3 Nd 0.555 0.110 0.332
Nd4 Nd 0.445 0.890 0.668
Y1 Y 0.000 0.000 0.000
Ho1 Ho 0.333 0.665 0.000
Ho2 Ho 0.667 0.335 0.000
# Total energy   -44.02 eV/cell
# SG   C2/m (12)



Entry 2:
# BaMg2Cd2 PBE relaxed
data_BaMg2Cd2
_chemical_formula_sum 'Ba1 Mg2 Cd2'
_space_group_name_H-M_alt 'P 1'
_space_group_IT_number 1
_space_group_name_Hall 'P 1'
_cell_length_a 4.767
_cell_length_b 4.767
_cell_length_c 7.383
_cell_angle_alpha 71.16
_cell_angle_beta 71.16
_cell_angle_gamma 90.00
loop_
_atom_site_label
_atom_site_type_symbol
_atom_site_fract_x
_atom_site_fract_y
_atom_site_fract_z
Mg1 Mg 0.750 0.250 0.500
Mg2 Mg 0.250 0.750 0.500
Ba1 Ba 0.000 0.000 0.000
Cd1 Cd 0.387 0.387 0.227
Cd2 Cd 0.613 0.613 0.773
# Total energy   -8.03 eV/cell
# SG   I4/mmm (139)
# Distance to the lowest polymorph of the same formula   0.0 meV/atom



Entry 3:
# CrIr2Rh PBE relaxed
data_CrIr2Rh
_chemical_formula_sum 'Cr1 Ir2 Rh1'
_space_group_name_H-M_alt 'P 1'
_space_group_IT_number 1
_space_group_name_Hall 'P 1'
_cell_length_a 4.663
_cell_length_b 4.663
_cell_length_c 4.660
_cell_angle_alpha 131.62
_cell_angle_beta 131.62
_cell_angle_gamma 70.88
loop_
_atom_site_label
_atom_site_type_symbol
_atom_site_fract_x
_atom_site_fract_y
_atom_site_fract_z
Cr1 Cr 0.250 0.750 0.500
Ir1 Ir 0.000 0.000 0.000
Ir2 Ir 0.500 0.500 0.000
Rh1 Rh 0.750 0.250 0.500
# Total energy   -35.25 eV/cell
# SG   Fmmm (69)



Entry 4:
# K2PaSbO8 PBE relaxed
data_K2PaSbO8
_chemical_formula_sum 'K2 Pa1 Sb1 O8'
_space_group_name_H-M_alt 'P 1'
_space_group_IT_number 1
_space_group_name_Hall 'P 1'
_cell_length_a 4.982
_cell_length_b 5.991
_cell_length_c 6.783
_cell_angle_alpha 90.00
_cell_angle_beta 90.00
_cell_angle_gamma 92.12
loop_
_atom_site_label
_atom_site_type_symbol
_atom_site_fract_x
_atom_site_fract_y
_atom_site_fract_z
K1 K 0.500 0.500 0.758
K2 K 0.500 0.500 0.242
Pa1 Pa 0.000 0.000 0.500
Sb1 Sb 0.000 0.000 0.000
O1 O 0.071 0.787 0.215
O2 O 0.571 0.906 0.000
O3 O 0.929 0.213 0.215
O4 O 0.929 0.213 0.785
O5 O 0.429 0.094 0.000
O6 O 0.071 0.787 0.785
O7 O 0.670 0.818 0.500
O8 O 0.330 0.182 0.500
# Formation energy from raw total energies   -20.0 eV per formula unit
# Total energy   -75.50 eV/cell
# SG   P2/m (10)



Entry 5:
# TaMnReMo PBE relaxed
data_TaMnReMo
_chemical_formula_sum 'Ta1 Mn1 Re1 Mo1'
_space_group_name_H-M_alt 'P 1'
_space_group_IT_number 1
_space_group_name_Hall 'P 1'
_cell_length_a 4.402
_cell_length_b 4.402
_cell_length_c 4.402
_cell_angle_alpha 60.00
_cell_angle_beta 60.00
_cell_angle_gamma 60.00
loop_
_atom_site_label
_atom_site_type_symbol
_atom_site_fract_x
_atom_site_fract_y
_atom_site_fract_z
Re1 Re 0.250 0.250 0.250
Mo1 Mo 0.500 0.500 0.500
Mn1 Mn 0.750 0.750 0.750
Ta1 Ta 0.000 0.000 0.000
# Total energy   -44.60 eV/cell
# SG   F-43m (216)



Entry 6:
# Sm2ErSe PBE relaxed
data_Sm2ErSe
_chemical_formula_sum 'Sm2 Er1 Se1'
_space_group_name_H-M_alt 'P 1'
_space_group_IT_number 1
_space_group_name_Hall 'P 1'
_cell_length_a 3.798
_cell_length_b 3.798
_cell_length_c 10.548
_cell_angle_alpha 79.63
_cell_angle_beta 79.63
_cell_angle_gamma 60.00
loop_
_atom_site_label
_atom_site_type_symbol
_atom_site_fract_x
_atom_site_fract_y
_atom_site_fract_z
Se1 Se 0.500 0.500 0.500
Sm1 Sm 0.108 0.108 0.677
Sm2 Sm 0.892 0.892 0.323
Er1 Er 0.000 0.000 0.000
# Formation energy from raw total energies   -2.2 eV per formula unit
# Total energy   -19.65 eV/cell
# SG   R-3m (166)
# Distance to the lowest polymorph of the same formula   146.9 meV/atom



Entry 7:
# Cd2CoSe PBE relaxed
data_Cd2CoSe
_chemical_formula_sum 'Cd2 Co1 Se1'
_space_group_name_H-M_alt 'P 1'
_space_group_IT_number 1
_space_group_name_Hall 'P 1'
_cell_length_a 7.176
_cell_length_b 7.176
_cell_length_c 3.816
_cell_angle_alpha 74.54
_cell_angle_beta 74.54
_cell_angle_gamma 24.22
loop_
_atom_site_label
_atom_site_type_symbol
_atom_site_fract_x
_atom_site_fract_y
_atom_site_fract_z
Cd1 Cd 0.070 0.070 0.931
Cd2 Cd 0.430 0.430 0.569
Co1 Co 0.750 0.750 0.750
Se1 Se 0.250 0.250 0.250
# Formation energy from raw total energies   0.3 eV per formula unit
# Total energy   -12.10 eV/cell
# SG   Immm (71)



Entry 8:
# Sr4Cd2Rh PBE relaxed
data_Sr4Cd2Rh
_chemical_formula_sum 'Sr4 Cd2 Rh1'
_space_group_name_H-M_alt 'P 1'
_space_group_IT_number 1
_space_group_name_Hall 'P 1'
_cell_length_a 5.299
_cell_length_b 6.892
_cell_length_c 7.694
_cell_angle_alpha 110.69
_cell_angle_beta 110.14
_cell_angle_gamma 90.00
loop_
_atom_site_label
_atom_site_type_symbol
_atom_site_fract_x
_atom_site_fract_y
_atom_site_fract_z
Sr1 Sr 0.148 0.784 0.296
Sr2 Sr 0.852 0.216 0.704
Sr3 Sr 0.433 0.728 0.866
Sr4 Sr 0.567 0.272 0.134
Cd1 Cd 0.207 0.313 0.413
Cd2 Cd 0.793 0.687 0.587
Rh1 Rh 0.000 0.000 0.000
# Total energy   -17.69 eV/cell
# SG   C2/m (12)
# Distance to the lowest polymorph of the same formula   0.0 meV/atom



Entry 9:
# AcMgGaRh PBE relaxed
data_AcMgGaRh
_chemical_formula_sum 'Ac1 Mg1 Ga1 Rh1'
_space_group_name_H-M_alt 'P 1'
_space_group_IT_number 1
_space_group_name_Hall 'P 1'
_cell_length_a 4.418
_cell_length_b 4.418
_cell_length_c 6.398
_cell_angle_alpha 69.81
_cell_angle_beta 69.81
_cell_angle_gamma 60.00
loop_
_atom_site_label
_atom_site_type_symbol
_atom_site_fract_x
_atom_site_fract_y
_atom_site_fract_z
Ac1 Ac 0.825 0.825 0.524
Mg1 Mg 0.014 0.014 0.959
Ga1 Ga 0.615 0.615 0.156
Rh1 Rh 0.272 0.272 0.183
# Total energy   -18.01 eV/cell
# SG   R3m (160)
# Distance to the lowest polymorph of the same formula   0.0 meV/atom



Entry 10:
# TbPrTl3 PBE relaxed
data_TbPrTl3
_chemical_formula_sum 'Tb4 Pr4 Tl12'
_space_group_name_H-M_alt 'P 1'
_space_group_IT_number 1
_space_group_name_Hall 'P 1'
_cell_length_a 8.342
_cell_length_b 8.342
_cell_length_c 10.678
_cell_angle_alpha 90.00
_cell_angle_beta 90.00
_cell_angle_gamma 108.11
loop_
_atom_site_label
_atom_site_type_symbol
_atom_site_fract_x
_atom_site_fract_y
_atom_site_fract_z
Tb1 Tb 0.988 0.988 0.250
Tb2 Tb 0.012 0.012 0.750
Tb3 Tb 0.386 0.386 0.250
Tb4 Tb 0.614 0.614 0.750
Pr1 Pr 0.500 0.000 0.000
Pr2 Pr 0.500 0.000 0.500
Pr3 Pr 0.000 0.500 0.000
Pr4 Pr 0.000 0.500 0.500
Tl1 Tl 0.817 0.571 0.250
Tl2 Tl 0.183 0.429 0.750
Tl3 Tl 0.429 0.183 0.750
Tl4 Tl 0.571 0.817 0.250
Tl5 Tl 0.181 0.181 0.488
Tl6 Tl 0.819 0.819 0.988
Tl7 Tl 0.819 0.819 0.512
Tl8 Tl 0.181 0.181 0.012
Tl9 Tl 0.390 0.610 0.000
Tl10 Tl 0.610 0.390 0.500
Tl11 Tl 0.610 0.390 0.000
Tl12 Tl 0.390 0.610 0.500
# Total energy   -65.07 eV/cell
# SG   Cmcm (63)



Entry 11:
# SnHg2Pb4 PBE relaxed
data_SnHg2Pb4
_chemical_formula_sum 'Sn2 Hg4 Pb8'
_space_group_name_H-M_alt 'P 1'
_space_group_IT_number 1
_space_group_name_Hall 'P 1'
_cell_length_a 5.352
_cell_length_b 7.487
_cell_length_c 10.852
_cell_angle_alpha 90.00
_cell_angle_beta 90.00
_cell_angle_gamma 90.00
loop_
_atom_site_label
_atom_site_type_symbol
_atom_site_fract_x
_atom_site_fract_y
_atom_site_fract_z
Sn1 Sn 0.000 0.000 0.500
Sn2 Sn 0.000 0.500 0.000
Hg1 Hg 0.500 0.000 0.759
Hg2 Hg 0.500 0.000 0.241
Hg3 Hg 0.500 0.500 0.741
Hg4 Hg 0.500 0.500 0.259
Pb1 Pb 0.000 0.749 0.750
Pb2 Pb 0.000 0.251 0.250
Pb3 Pb 0.000 0.249 0.750
Pb4 Pb 0.000 0.751 0.250
Pb5 Pb 0.500 0.748 0.500
Pb6 Pb 0.500 0.252 0.500
Pb7 Pb 0.500 0.752 0.000
Pb8 Pb 0.500 0.248 0.000
# Total energy   -37.82 eV/cell
# SG   Cmmm (65)
# Distance to the lowest polymorph of the same formula   10.1 meV/atom



Entry 12:
# ScAgPd PBE relaxed
data_ScAgPd
_chemical_formula_sum 'Sc4 Ag4 Pd4'
_space_group_name_H-M_alt 'P 1'
_space_group_IT_number 1
_space_group_name_Hall 'P 1'
_cell_length_a 4.280
_cell_length_b 7.909
_cell_length_c 6.703
_cell_angle_alpha 72.92
_cell_angle_beta 90.00
_cell_angle_gamma 90.00
loop_
_atom_site_label
_atom_site_type_symbol
_atom_site_fract_x
_atom_site_fract_y
_atom_site_fract_z
Sc1 Sc 0.250 0.696 0.716
Sc2 Sc 0.750 0.804 0.284
Sc3 Sc 0.750 0.304 0.284
Sc4 Sc 0.250 0.196 0.716
Pd1 Pd 0.250 0.873 0.008
Pd2 Pd 0.750 0.627 0.992
Pd3 Pd 0.750 0.127 0.992
Pd4 Pd 0.250 0.373 0.008
Ag1 Ag 0.250 0.539 0.344
Ag2 Ag 0.750 0.961 0.656
Ag3 Ag 0.750 0.461 0.656
Ag4 Ag 0.250 0.039 0.344
# Total energy   -63.99 eV/cell
# SG   P2_1/m (11)
# Distance to the lowest polymorph of the same formula   55.7 meV/atom